[1]
## La5As4Se (GGA-PBE)

Data for crystalline La5As4Se at its relaxed geometry.

Results
Total magnetic moment, Bohr magnetons per cell: 0.00
VASP energy, eV per atom: -6.363
ΔE to the lowest computed polymorph, meV per atom: 7
Formation energy (no corrections), eV per atom: -1.691
Density, g/cm³: 6.07

Cell lengths 4.362, 4.362, 30.865 Å; angles 90.00, 90.00, 90.00 degrees
Space group I4/mmm (No. 139)
Inequivalent atoms, fractional coordinates:
La1 0.000 0.000 0.000 (multiplicity 2)
La2 0.000 0.000 0.200 (multiplicity 4)
La3 0.000 0.000 0.398 (multiplicity 4)
As1 0.000 0.000 0.098 (multiplicity 4)
As2 0.000 0.000 0.300 (multiplicity 4)
Se1 0.000 0.000 0.500 (multiplicity 2)


[2]
## SrZn2W (GGA-PBE)

Data for crystalline SrZn2W at its relaxed geometry.

Results
Total magnetic moment, Bohr magnetons per cell: 0.00
VASP energy, eV per atom: -3.680
ΔE to the lowest computed polymorph, meV per atom: 241
DFT formation energy, kJ/mol of atoms: 59.41
Density, g/cm³: 8.38

Cell lengths 10.304, 2.899, 5.559 Å; angles 90.00, 106.18, 90.00 degrees
Space group Cm (No. 8)
Inequivalent atoms, fractional coordinates:
Sr1 0.000 0.000 0.000 (multiplicity 2)
Zn1 0.267 0.500 0.248 (multiplicity 2)
Zn2 0.478 0.000 0.515 (multiplicity 2)
W1 0.213 0.000 0.625 (multiplicity 2)


[3]
## NaPdS6 (GGA-PBE)

Data for crystalline NaPdS6 at its relaxed geometry.

Results
Total magnetic moment, Bohr magnetons per cell: 0.00
VASP energy, eV per atom: -4.103
Formation energy (no corrections), eV per atom: -0.193
Density, g/cm³: 2.58

Cell lengths 5.188, 5.599, 7.447 Å; angles 99.82, 97.32, 100.04 degrees
Space group P-1 (No. 2)
Inequivalent atoms, fractional coordinates:
Na1 0.000 0.000 0.000 (multiplicity 1)
Pd1 0.500 0.500 0.000 (multiplicity 1)
S1 0.109 0.754 0.336 (multiplicity 2)
S2 0.146 0.563 0.786 (multiplicity 2)
S3 0.432 0.840 0.204 (multiplicity 2)


[4]
## Pr2Dy6Al (GGA-PBE)

Data for crystalline Pr2Dy6Al at its relaxed geometry.

Results
Total magnetic moment, Bohr magnetons per cell: 0.00
VASP energy, eV per atom: -4.518
DFT formation energy, kJ/mol of atoms: 2.71
Density, g/cm³: 7.55

Cell lengths 3.527, 10.217, 15.668 Å; angles 90.00, 90.00, 90.00 degrees
Space group Immm (No. 71)
Inequivalent atoms, fractional coordinates:
Pr1 0.000 0.000 0.145 (multiplicity 4)
Dy1 0.000 0.272 0.500 (multiplicity 4)
Dy2 0.000 0.342 0.178 (multiplicity 8)
Al1 0.000 0.500 0.000 (multiplicity 2)


Please write out number 3 again, unchanged.
## NaPdS6 (GGA-PBE)

Data for crystalline NaPdS6 at its relaxed geometry.

Results
Total magnetic moment, Bohr magnetons per cell: 0.00
VASP energy, eV per atom: -4.103
Formation energy (no corrections), eV per atom: -0.193
Density, g/cm³: 2.58

Cell lengths 5.188, 5.599, 7.447 Å; angles 99.82, 97.32, 100.04 degrees
Space group P-1 (No. 2)
Inequivalent atoms, fractional coordinates:
Na1 0.000 0.000 0.000 (multiplicity 1)
Pd1 0.500 0.500 0.000 (multiplicity 1)
S1 0.109 0.754 0.336 (multiplicity 2)
S2 0.146 0.563 0.786 (multiplicity 2)
S3 0.432 0.840 0.204 (multiplicity 2)


Copy entry 2 word for word.
## SrZn2W (GGA-PBE)

Data for crystalline SrZn2W at its relaxed geometry.

Results
Total magnetic moment, Bohr magnetons per cell: 0.00
VASP energy, eV per atom: -3.680
ΔE to the lowest computed polymorph, meV per atom: 241
DFT formation energy, kJ/mol of atoms: 59.41
Density, g/cm³: 8.38

Cell lengths 10.304, 2.899, 5.559 Å; angles 90.00, 106.18, 90.00 degrees
Space group Cm (No. 8)
Inequivalent atoms, fractional coordinates:
Sr1 0.000 0.000 0.000 (multiplicity 2)
Zn1 0.267 0.500 0.248 (multiplicity 2)
Zn2 0.478 0.000 0.515 (multiplicity 2)
W1 0.213 0.000 0.625 (multiplicity 2)


Q: Which of these has the highest density?
A: SrZn2W